A relaxed NiAgNO2 crystal. Source: the Alexandria database, functional PBE+U.

Lattice parameters (Å, degrees): 3.869 3.869 3.740 90.00 90.00 90.00
Fractional positions:
Ni 0.000 0.000 0.000
O 0.000 0.500 0.000
O 0.500 0.000 0.000
Ag 0.500 0.500 0.500
N 0.000 0.000 0.500

The size of the total moment comes out at 0.769 μB/atom. The total energy comes out at -4.0251 eV per atom.